(1)
# TbPr2Pt PBE optimized geometry
# **Fermi-level density of states**: 1.165 states/eV per atom
# **Electronic total energy**: -88.8 eV for the cell shown
data_TbPr2Pt
_space_group_name_H-M_alt 'P n n a'
_space_group_IT_number 52
_space_group_name_Hall '-P 2a 2bc'
_cell_length_a 6.814
_cell_length_b 6.654
_cell_length_c 11.576
_cell_angle_alpha 90.00
_cell_angle_beta 90.00
_cell_angle_gamma 90.00
loop_
_atom_site_label
_atom_site_type_symbol
_atom_site_fract_x
_atom_site_fract_y
_atom_site_fract_z
Tb1 Tb 0.056 0.250 0.250
Pr1 Pr 0.085 0.233 0.586
Pt1 Pt 0.250 0.000 0.095

---

(2)
# TbPr5Pt4 PBE optimized geometry
# **Fermi-level density of states**: 0.808 states/eV per atom
# **Electronic total energy**: -122.4 eV for the cell shown
data_TbPr5Pt4
_space_group_name_H-M_alt 'C 1 2/m 1'
_space_group_IT_number 12
_space_group_name_Hall '-C 2y'
_cell_length_a 18.251
_cell_length_b 4.220
_cell_length_c 8.202
_cell_angle_alpha 90.00
_cell_angle_beta 105.78
_cell_angle_gamma 90.00
loop_
_atom_site_label
_atom_site_type_symbol
_atom_site_fract_x
_atom_site_fract_y
_atom_site_fract_z
Tb1 Tb 0.000 0.000 0.000
Pr1 Pr 0.000 0.000 0.500
Pr2 Pr 0.165 0.500 0.345
Pr3 Pr 0.167 0.500 0.855
Pt1 Pt 0.001 0.500 0.249
Pt2 Pt 0.168 0.000 0.105

---

(3)
# TbPrPt2 PBE optimized geometry
# **Fermi-level density of states**: 0.746 states/eV per atom
# **Electronic total energy**: -25.9 eV for the cell shown
data_TbPrPt2
_space_group_name_H-M_alt 'P 4/m m m'
_space_group_IT_number 123
_space_group_name_Hall '-P 4 2'
_cell_length_a 3.559
_cell_length_b 3.559
_cell_length_c 7.195
_cell_angle_alpha 90.00
_cell_angle_beta 90.00
_cell_angle_gamma 90.00
loop_
_atom_site_label
_atom_site_type_symbol
_atom_site_fract_x
_atom_site_fract_y
_atom_site_fract_z
Tb1 Tb 0.000 0.000 0.000
Pr1 Pr 0.000 0.000 0.500
Pt1 Pt 0.500 0.500 0.231

---

(4)
# Tb2PrPt PBE optimized geometry
# **Fermi-level density of states**: 0.986 states/eV per atom
# **Electronic total energy**: -22.5 eV for the cell shown
data_Tb2PrPt
_space_group_name_H-M_alt 'P 4/m m m'
_space_group_IT_number 123
_space_group_name_Hall '-P 4 2'
_cell_length_a 3.585
_cell_length_b 3.585
_cell_length_c 8.770
_cell_angle_alpha 90.00
_cell_angle_beta 90.00
_cell_angle_gamma 90.00
loop_
_atom_site_label
_atom_site_type_symbol
_atom_site_fract_x
_atom_site_fract_y
_atom_site_fract_z
Tb1 Tb 0.000 0.000 0.187
Pr1 Pr 0.500 0.500 0.500
Pt1 Pt 0.500 0.500 0.000

---

(5)
# Tb2PrPt PBE optimized geometry
# **Fermi-level density of states**: 1.181 states/eV per atom
# **Electronic total energy**: -45.3 eV for the cell shown
data_Tb2PrPt
_space_group_name_H-M_alt 'P 1 21/m 1'
_space_group_IT_number 11
_space_group_name_Hall '-P 2yb'
_cell_length_a 3.858
_cell_length_b 9.370
_cell_length_c 6.564
_cell_angle_alpha 90.00
_cell_angle_beta 107.05
_cell_angle_gamma 90.00
loop_
_atom_site_label
_atom_site_type_symbol
_atom_site_fract_x
_atom_site_fract_y
_atom_site_fract_z
Tb1 Tb 0.139 0.062 0.278
Pr1 Pr 0.436 0.250 0.871
Pt1 Pt 0.264 0.750 0.528

---

(6)
# Tb3PrPt2 PBE optimized geometry
# **Fermi-level density of states**: 0.996 states/eV per atom
# **Electronic total energy**: -72.3 eV for the cell shown
data_Tb3PrPt2
_space_group_name_H-M_alt 'P m c 21'
_space_group_IT_number 26
_space_group_name_Hall 'P 2c -2'
_cell_length_a 4.826
_cell_length_b 8.931
_cell_length_c 7.255
_cell_angle_alpha 90.00
_cell_angle_beta 90.00
_cell_angle_gamma 90.00
loop_
_atom_site_label
_atom_site_type_symbol
_atom_site_fract_x
_atom_site_fract_y
_atom_site_fract_z
Tb1 Tb 0.000 0.079 0.000
Tb2 Tb 0.000 0.327 0.366
Tb3 Tb 0.500 0.164 0.653
Pr1 Pr 0.500 0.419 0.017
Pt1 Pt 0.000 0.335 0.762
Pt2 Pt 0.500 0.155 0.255

---

(7)
# TbPrPt2 PBE optimized geometry
# **Fermi-level density of states**: 0.593 states/eV per atom
# **Electronic total energy**: -76.6 eV for the cell shown
data_TbPrPt2
_space_group_name_H-M_alt 'R 3 m'
_space_group_IT_number 160
_space_group_name_Hall 'R 3 -2"'
_cell_length_a 4.0986
_cell_length_b 4.0986
_cell_length_c 21.1914
_cell_angle_alpha 90.00
_cell_angle_beta 90.00
_cell_angle_gamma 120.00
loop_
_atom_site_label
_atom_site_type_symbol
_atom_site_fract_x
_atom_site_fract_y
_atom_site_fract_z
Tb1 Tb 0.0000 0.0000 0.0000
Pr1 Pr 0.0000 0.0000 0.8279
Pt1 Pt 0.0000 0.0000 0.4107
Pt2 Pt 0.0000 0.0000 0.5839

---

(8)
# TbPrTlPt PBE optimized geometry
# **Fermi-level density of states**: 0.999 states/eV per atom
# **Electronic total energy**: -81.2 eV for the cell shown
data_TbPrTlPt
_space_group_name_H-M_alt 'F -4 3 m'
_space_group_IT_number 216
_space_group_name_Hall 'F -4 2 3'
_cell_length_a 7.451
_cell_length_b 7.451
_cell_length_c 7.451
_cell_angle_alpha 90.00
_cell_angle_beta 90.00
_cell_angle_gamma 90.00
loop_
_atom_site_label
_atom_site_type_symbol
_atom_site_fract_x
_atom_site_fract_y
_atom_site_fract_z
Tb1 Tb 0.000 0.000 0.000
Pr1 Pr 0.000 0.000 0.500
Tl1 Tl 0.250 0.250 0.250
Pt1 Pt 0.250 0.250 0.750

---

(9)
# TbPrZnPt PBE optimized geometry
# **Fermi-level density of states**: 0.847 states/eV per atom
# **Electronic total energy**: -39.4 eV for the cell shown
data_TbPrZnPt
_space_group_name_H-M_alt 'A m m 2'
_space_group_IT_number 38
_space_group_name_Hall 'A 2 -2'
_cell_length_a 4.463
_cell_length_b 3.939
_cell_length_c 11.064
_cell_angle_alpha 90.00
_cell_angle_beta 90.00
_cell_angle_gamma 90.00
loop_
_atom_site_label
_atom_site_type_symbol
_atom_site_fract_x
_atom_site_fract_y
_atom_site_fract_z
Tb1 Tb 0.000 0.000 0.000
Pr1 Pr 0.500 0.000 0.281
Zn1 Zn 0.000 0.000 0.710
Pt1 Pt 0.500 0.000 0.562

---

(10)
# TbPrZnPt PBE optimized geometry
# **Fermi-level density of states**: 0.773 states/eV per atom
# **Electronic total energy**: -78.0 eV for the cell shown
data_TbPrZnPt
_space_group_name_H-M_alt 'F -4 3 m'
_space_group_IT_number 216
_space_group_name_Hall 'F -4 2 3'
_cell_length_a 7.217
_cell_length_b 7.217
_cell_length_c 7.217
_cell_angle_alpha 90.00
_cell_angle_beta 90.00
_cell_angle_gamma 90.00
loop_
_atom_site_label
_atom_site_type_symbol
_atom_site_fract_x
_atom_site_fract_y
_atom_site_fract_z
Tb1 Tb 0.000 0.000 0.000
Pr1 Pr 0.000 0.000 0.500
Zn1 Zn 0.250 0.250 0.250
Pt1 Pt 0.250 0.250 0.750

---

(11)
# Pr4TcPt PBE optimized geometry
# **Fermi-level density of states**: 0.915 states/eV per atom
# **Electronic total energy**: -75.3 eV for the cell shown
data_Pr4TcPt
_space_group_name_H-M_alt 'P -1'
_space_group_IT_number 2
_space_group_name_Hall '-P 1'
_cell_length_a 6.594
_cell_length_b 7.889
_cell_length_c 8.187
_cell_angle_alpha 114.13
_cell_angle_beta 108.48
_cell_angle_gamma 100.17
loop_
_atom_site_label
_atom_site_type_symbol
_atom_site_fract_x
_atom_site_fract_y
_atom_site_fract_z
Pr1 Pr 0.010 0.234 0.366
Pr2 Pr 0.207 0.299 0.849
Pr3 Pr 0.357 0.633 0.367
Pr4 Pr 0.358 0.951 0.151
Tc1 Tc 0.253 0.003 0.507
Pt1 Pt 0.385 0.635 0.770

---

(12)
# Pr2TePt PBE optimized geometry
# **E_form (uncorrected)**: -1.2485 eV/atom
# **Fermi-level density of states**: 0.515 states/eV per atom
# **Electronic total energy**: -47.5 eV for the cell shown
data_Pr2TePt
_space_group_name_H-M_alt 'C 1 2/m 1'
_space_group_IT_number 12
_space_group_name_Hall '-C 2y'
_cell_length_a 7.436
_cell_length_b 4.298
_cell_length_c 8.031
_cell_angle_alpha 90.00
_cell_angle_beta 108.07
_cell_angle_gamma 90.00
loop_
_atom_site_label
_atom_site_type_symbol
_atom_site_fract_x
_atom_site_fract_y
_atom_site_fract_z
Pr1 Pr 0.238 0.000 0.215
Te1 Te 0.000 0.000 0.500
Pt1 Pt 0.000 0.500 0.000